Record 1
## CeOF (PBE)

Data for a relaxed structure of CeOF.

Structure (extended XYZ):
```
3
Lattice="-3.902 1.844 1.820 -0.072 -2.718 2.598 1.836 3.209 0.686" Properties=species:S:1:pos:R:3 pbc="T T T"
Ce -0.880 -0.060 2.634
F -0.413 0.195 0.193
O -0.844 2.199 2.277
```

Results
Symmetry: No. 156
Raw formation energy (kJ/mol of formula units): -993


Record 2
## CePO4F2 (PBE)

Data for a relaxed structure of CePO4F2.

Structure (extended XYZ):
```
16
Lattice="5.921 0.000 0.000 0.000 6.744 0.000 0.000 0.000 6.131" Properties=species:S:1:pos:R:3 pbc="T T T"
P 3.332 6.712 3.066
Ce 0.371 2.378 3.066
O 2.105 0.884 3.066
F 4.806 3.369 1.532
O 5.065 5.861 0.000
O 0.372 0.963 4.918
Ce 3.331 4.366 0.000
F 4.806 3.369 4.599
O 0.372 0.963 1.213
P 0.372 0.032 0.000
F 1.845 3.375 4.598
O 3.332 5.781 1.853
O 4.562 0.881 3.066
F 1.845 3.375 1.533
O 1.601 5.863 0.000
O 3.332 5.781 4.279
```

Results
Symmetry: No. 31
Raw formation energy (kJ/mol of formula units): -2035


Record 3
## CePO4F (PBE)

Data for a relaxed structure of CePO4F.

Structure (extended XYZ):
```
14
Lattice="5.753 -0.239 0.007 1.680 5.508 0.007 1.515 1.074 6.315" Properties=species:S:1:pos:R:3 pbc="T T T"
O 6.249 4.429 3.108
P 3.029 2.147 1.745
O 7.137 3.562 5.338
Ce 6.012 4.261 0.884
F 8.516 6.036 5.212
F 0.432 0.306 1.117
Ce 2.936 2.081 5.445
P 5.918 4.195 4.583
O 2.698 1.913 3.221
O 5.725 5.555 5.338
O 3.223 0.787 0.990
O 4.275 3.030 1.587
O 4.673 3.312 4.742
O 1.811 2.780 0.990
```

Results
Symmetry: No. 12
Raw formation energy (kJ/mol of formula units): -1986